VASP calculation (PBE with a Hubbard U) on a relaxed structure of FeTeO2F.

Output
Uncorrected energy: -0.362 Ry per atom

a = 4.0621 Å, b = 4.0621 Å, c = 3.9405 Å
α = 90.00°, β = 90.00°, γ = 90.00°
With the nearest neighbours (Å) after each atom.
Space group P4/mmm (No. 123)
Symmetry-distinct sites (fractional):
Fe (0.0000, 0.0000, 0.0000) x1  2 F 1.97, 4 O 2.03
Te (0.5000, 0.5000, 0.5000) x1  8 O 2.83, 4 F 2.87
O (0.0000, 0.5000, 0.0000) x2  2 Fe 2.03
F (0.0000, 0.0000, 0.5000) x1  2 Fe 1.97